# La4TcPdBr2 (PBE-GGA, optimized geometry)
data_La4TcPdBr2
_space_group_name_H-M_alt 'P 1'
_space_group_IT_number 1
_cell_length_a 4.2360
_cell_length_b 8.3206
_cell_length_c 7.2551
_cell_angle_alpha 73.06
_cell_angle_beta 90.00
_cell_angle_gamma 90.00
loop_
_space_group_symop_operation_xyz
'x,y,z'
loop_
_atom_site_label
_atom_site_fract_x
_atom_site_fract_y
_atom_site_fract_z
La1 0.5000 0.7023 0.2784
La2 0.0000 0.3021 0.2511
La3 0.5000 0.2977 0.7216
Br1 0.0000 0.0000 0.0000
Tc1 0.0000 0.5000 0.5000
Br2 0.5000 0.0000 0.5000
La4 0.0000 0.6979 0.7489
Pd1 0.5000 0.5000 0.0000
# - Calculated total energy: -45.842 eV per cell


# Al2VFe4 (PBE-GGA, optimized geometry)
data_Al2VFe4
_space_group_name_H-M_alt 'P 1'
_space_group_IT_number 1
_cell_length_a 3.9625
_cell_length_b 3.9625
_cell_length_c 6.3602
_cell_angle_alpha 108.15
_cell_angle_beta 108.15
_cell_angle_gamma 90.00
loop_
_space_group_symop_operation_xyz
'x,y,z'
loop_
_atom_site_label
_atom_site_fract_x
_atom_site_fract_y
_atom_site_fract_z
Fe1 0.8859 0.3859 0.7717
Fe2 0.6141 0.1141 0.2283
Al1 0.2513 0.2513 0.5026
Fe3 0.3859 0.8859 0.7717
V1 0.0000 0.0000 0.0000
Al2 0.7487 0.7487 0.4974
Fe4 0.1141 0.6141 0.2283
# - Energy relative to the elements: 0.0698 eV per atom